No. 1
# K12Rb3Br5 PBE optimized geometry
# Symmetry: Ia-3d (230)
# Formation energy (no corrections): -722 meV per atom
# DFT total energy: -1.943 eV per atom
# Total magnetic moment: 0.000 μB per cell
data_K12Rb3Br5
_cell_length_a 19.1806
_cell_length_b 19.1806
_cell_length_c 19.1806
_cell_angle_alpha 109.47
_cell_angle_beta 109.47
_cell_angle_gamma 109.47
_space_group_name_H-M_alt 'P 1'
_space_group_IT_number 1
loop_
_space_group_symop_operation_xyz
'x,y,z'
loop_
_atom_site_label
_atom_site_fract_x
_atom_site_fract_y
_atom_site_fract_z
K1 0.0021 0.1860 0.0960
K2 0.0021 0.3161 0.9061
K3 0.0900 0.6860 0.6839
K4 0.0900 0.9040 0.4061
K5 0.0939 0.5960 0.4100
K6 0.0939 0.9979 0.6839
K7 0.0960 0.0021 0.1860
K8 0.0960 0.5939 0.9100
K9 0.1839 0.1860 0.5900
K10 0.1839 0.4979 0.5939
K11 0.1860 0.0960 0.0021
K12 0.1860 0.5900 0.1839
K13 0.3140 0.3161 0.9100
K14 0.3140 0.4979 0.4040
K15 0.3161 0.9061 0.0021
K16 0.3161 0.9100 0.3140
K17 0.4040 0.3140 0.4979
K18 0.4040 0.5900 0.9061
K19 0.4061 0.0900 0.9040
K20 0.4061 0.8161 0.5021
K21 0.4100 0.0939 0.5960
K22 0.4100 0.8161 0.8140
K23 0.4979 0.4040 0.3140
K24 0.4979 0.5939 0.1839
K25 0.5021 0.4061 0.8161
K26 0.5021 0.5960 0.6860
K27 0.5900 0.1839 0.1860
K28 0.5900 0.9061 0.4040
K29 0.5939 0.1839 0.4979
K30 0.5939 0.9100 0.0960
K31 0.5960 0.4100 0.0939
K32 0.5960 0.6860 0.5021
K33 0.6839 0.0900 0.6860
K34 0.6839 0.0939 0.9979
K35 0.6860 0.5021 0.5960
K36 0.6860 0.6839 0.0900
K37 0.8140 0.4100 0.8161
K38 0.8140 0.9040 0.9979
K39 0.8161 0.5021 0.4061
K40 0.8161 0.8140 0.4100
K41 0.9040 0.4061 0.0900
K42 0.9040 0.9979 0.8140
K43 0.9061 0.0021 0.3161
K44 0.9061 0.4040 0.5900
K45 0.9100 0.0960 0.5939
K46 0.9100 0.3140 0.3161
K47 0.9979 0.6839 0.0939
K48 0.9979 0.8140 0.9040
Rb1 0.1250 0.2500 0.3750
Rb2 0.1250 0.3750 0.7500
Rb3 0.2500 0.3750 0.1250
Rb4 0.2500 0.8750 0.6250
Rb5 0.3750 0.1250 0.2500
Rb6 0.3750 0.7500 0.1250
Rb7 0.6250 0.2500 0.8750
Rb8 0.6250 0.8750 0.7500
Rb9 0.7500 0.1250 0.3750
Rb10 0.7500 0.6250 0.8750
Rb11 0.8750 0.6250 0.2500
Rb12 0.8750 0.7500 0.6250
Br1 0.0000 0.0000 0.0000
Br2 0.0000 0.0000 0.5000
Br3 0.0000 0.5000 0.0000
Br4 0.0000 0.5000 0.5000
Br5 0.1250 0.7500 0.8750
Br6 0.1250 0.8750 0.2500
Br7 0.2500 0.1250 0.8750
Br8 0.2500 0.6250 0.3750
Br9 0.3750 0.2500 0.6250
Br10 0.3750 0.6250 0.7500
Br11 0.5000 0.0000 0.0000
Br12 0.5000 0.0000 0.5000
Br13 0.5000 0.5000 0.0000
Br14 0.5000 0.5000 0.5000
Br15 0.6250 0.3750 0.2500
Br16 0.6250 0.7500 0.3750
Br17 0.7500 0.3750 0.6250
Br18 0.7500 0.8750 0.1250
Br19 0.8750 0.1250 0.7500
Br20 0.8750 0.2500 0.1250


No. 2
# SrRh2Br PBE optimized geometry
# Symmetry: Pmmm (47)
# Formation energy (no corrections): 51 meV per atom
# DFT total energy: -4.463 eV per atom
# Total magnetic moment: 0.000 μB per cell
data_SrRh2Br
_cell_length_a 3.2583
_cell_length_b 4.9312
_cell_length_c 4.9630
_cell_angle_alpha 90.00
_cell_angle_beta 90.00
_cell_angle_gamma 90.00
_space_group_name_H-M_alt 'P 1'
_space_group_IT_number 1
loop_
_space_group_symop_operation_xyz
'x,y,z'
loop_
_atom_site_label
_atom_site_fract_x
_atom_site_fract_y
_atom_site_fract_z
Sr1 0.0000 0.0000 0.0000
Rh1 0.0000 0.5000 0.5000
Rh2 0.5000 0.0000 0.5000
Br1 0.5000 0.5000 0.0000


No. 3
# Tb3HoTm4 PBE optimized geometry
# Symmetry: Pmn2_1 (31)
# Calculated formation energy: 0.08 kcal/mol of atoms
# DFT total energy: -4.541 eV per atom
# Total magnetic moment: 0.000 μB per cell
data_Tb3HoTm4
_cell_length_a 11.1249
_cell_length_b 7.1942
_cell_length_c 6.2210
_cell_angle_alpha 90.00
_cell_angle_beta 90.00
_cell_angle_gamma 90.00
_space_group_name_H-M_alt 'P 1'
_space_group_IT_number 1
loop_
_space_group_symop_operation_xyz
'x,y,z'
loop_
_atom_site_label
_atom_site_fract_x
_atom_site_fract_y
_atom_site_fract_z
Tb1 0.0000 0.1269 0.0000
Tb2 0.2500 0.1266 0.3338
Tb3 0.2500 0.8734 0.8338
Tb4 0.5000 0.8731 0.5000
Tb5 0.7500 0.1266 0.3338
Tb6 0.7500 0.8734 0.8338
Ho1 0.0000 0.8734 0.4999
Ho2 0.5000 0.1266 0.9999
Tm1 0.0000 0.3770 0.5007
Tm2 0.0000 0.6234 0.0004
Tm3 0.2505 0.3767 0.8333
Tm4 0.2495 0.6233 0.3333
Tm5 0.5000 0.3766 0.5004
Tm6 0.5000 0.6230 0.0007
Tm7 0.7495 0.3767 0.8333
Tm8 0.7505 0.6233 0.3333


No. 4
# Nd2SnF PBE optimized geometry
# Symmetry: R-3m (166)
# Formation energy (no corrections): -1410 meV per atom
# DFT total energy: -5.263 eV per atom
# Total magnetic moment: 0.000 μB per cell
data_Nd2SnF
_cell_length_a 7.9093
_cell_length_b 7.9093
_cell_length_c 7.9093
_cell_angle_alpha 28.36
_cell_angle_beta 28.36
_cell_angle_gamma 28.36
_space_group_name_H-M_alt 'P 1'
_space_group_IT_number 1
loop_
_space_group_symop_operation_xyz
'x,y,z'
loop_
_atom_site_label
_atom_site_fract_x
_atom_site_fract_y
_atom_site_fract_z
Nd1 0.2300 0.2300 0.2300
Nd2 0.7700 0.7700 0.7700
Sn1 0.0000 0.0000 0.0000
F1 0.5000 0.5000 0.5000


No. 5
# KSn PBE optimized geometry
# Symmetry: Amm2 (38)
# Calculated formation energy: -1.88 kcal/mol of atoms
# DFT total energy: -2.632 eV per atom
# Total magnetic moment: 0.000 μB per cell
data_KSn
_cell_length_a 6.1602
_cell_length_b 7.1278
_cell_length_c 7.1278
_cell_angle_alpha 122.56
_cell_angle_beta 90.00
_cell_angle_gamma 90.00
_space_group_name_H-M_alt 'P 1'
_space_group_IT_number 1
loop_
_space_group_symop_operation_xyz
'x,y,z'
loop_
_atom_site_label
_atom_site_fract_x
_atom_site_fract_y
_atom_site_fract_z
K1 0.0000 0.0000 0.0000
K2 0.5000 0.2092 0.5409
K3 0.5000 0.5409 0.2092
Sn1 0.0000 0.4301 0.8602
Sn2 0.0000 0.4985 0.4985
Sn3 0.0000 0.8602 0.4301


No. 6
# LuTiAlCu PBE optimized geometry
# Symmetry: F-43m (216)
# Calculated formation energy: -3.67 kcal/mol of atoms
# DFT total energy: -5.223 eV per atom
# Total magnetic moment: 1.083 μB per cell
data_LuTiAlCu
_cell_length_a 4.6954
_cell_length_b 4.6954
_cell_length_c 4.6954
_cell_angle_alpha 60.00
_cell_angle_beta 60.00
_cell_angle_gamma 60.00
_space_group_name_H-M_alt 'P 1'
_space_group_IT_number 1
loop_
_space_group_symop_operation_xyz
'x,y,z'
loop_
_atom_site_label
_atom_site_fract_x
_atom_site_fract_y
_atom_site_fract_z
Lu1 0.0000 0.0000 0.0000
Ti1 0.5000 0.5000 0.5000
Al1 0.2500 0.2500 0.2500
Cu1 0.7500 0.7500 0.7500


No. 7
# UPaAsSe PBE optimized geometry
# Symmetry: P4/mmm (123)
# Formation energy (no corrections): -995 meV per atom
# DFT total energy: -8.225 eV per atom
# Total magnetic moment: 2.512 μB per cell
data_UPaAsSe
_cell_length_a 4.0760
_cell_length_b 4.0760
_cell_length_c 5.7667
_cell_angle_alpha 90.00
_cell_angle_beta 90.00
_cell_angle_gamma 90.00
_space_group_name_H-M_alt 'P 1'
_space_group_IT_number 1
loop_
_space_group_symop_operation_xyz
'x,y,z'
loop_
_atom_site_label
_atom_site_fract_x
_atom_site_fract_y
_atom_site_fract_z
U1 0.0000 0.0000 0.0000
Pa1 0.5000 0.5000 0.5000
As1 0.5000 0.5000 0.0000
Se1 0.0000 0.0000 0.5000


No. 8
# CaBiRu3 PBE optimized geometry
# Symmetry: Pm-3m (221)
# Calculated formation energy: 30.66 kcal/mol of atoms
# DFT total energy: -5.413 eV per atom
# Total magnetic moment: 2.845 μB per cell
data_CaBiRu3
_cell_length_a 5.0168
_cell_length_b 5.0168
_cell_length_c 5.0168
_cell_angle_alpha 90.00
_cell_angle_beta 90.00
_cell_angle_gamma 90.00
_space_group_name_H-M_alt 'P 1'
_space_group_IT_number 1
loop_
_space_group_symop_operation_xyz
'x,y,z'
loop_
_atom_site_label
_atom_site_fract_x
_atom_site_fract_y
_atom_site_fract_z
Ca1 0.0000 0.0000 0.0000
Bi1 0.5000 0.5000 0.5000
Ru1 0.0000 0.5000 0.5000
Ru2 0.5000 0.0000 0.5000
Ru3 0.5000 0.5000 0.0000


No. 9
# TmHfScNb PBE optimized geometry
# Symmetry: F-43m (216)
# Calculated formation energy: 4.82 kcal/mol of atoms
# DFT total energy: -7.497 eV per atom
# Total magnetic moment: 0.000 μB per cell
data_TmHfScNb
_cell_length_a 5.0266
_cell_length_b 5.0266
_cell_length_c 5.0266
_cell_angle_alpha 60.00
_cell_angle_beta 60.00
_cell_angle_gamma 60.00
_space_group_name_H-M_alt 'P 1'
_space_group_IT_number 1
loop_
_space_group_symop_operation_xyz
'x,y,z'
loop_
_atom_site_label
_atom_site_fract_x
_atom_site_fract_y
_atom_site_fract_z
Tm1 0.0000 0.0000 0.0000
Hf1 0.5000 0.5000 0.5000
Sc1 0.2500 0.2500 0.2500
Nb1 0.7500 0.7500 0.7500


No. 10
# LaTb2DyS6 PBE optimized geometry
# Symmetry: R3 (146)
# Formation energy (no corrections): -2078 meV per atom
# DFT total energy: -6.434 eV per atom
# Total magnetic moment: 0.000 μB per cell
data_LaTb2DyS6
_cell_length_a 7.4189
_cell_length_b 7.4189
_cell_length_c 7.4189
_cell_angle_alpha 56.68
_cell_angle_beta 56.68
_cell_angle_gamma 56.68
_space_group_name_H-M_alt 'P 1'
_space_group_IT_number 1
loop_
_space_group_symop_operation_xyz
'x,y,z'
loop_
_atom_site_label
_atom_site_fract_x
_atom_site_fract_y
_atom_site_fract_z
La1 0.0000 0.0000 0.0000
Tb1 0.2886 0.2886 0.2886
Tb2 0.7931 0.7931 0.7931
Dy1 0.4921 0.4921 0.4921
S1 0.0879 0.6691 0.4152
S2 0.1935 0.5858 0.8913
S3 0.4152 0.0879 0.6691
S4 0.5858 0.8913 0.1935
S5 0.6691 0.4152 0.0879
S6 0.8913 0.1935 0.5858


No. 11
# Gd2HoP PBE optimized geometry
# Symmetry: R-3m (166)
# Calculated formation energy: -15.30 kcal/mol of atoms
# DFT total energy: -10.201 eV per atom
# Total magnetic moment: 15.650 μB per cell
data_Gd2HoP
_cell_length_a 9.6583
_cell_length_b 9.6583
_cell_length_c 9.6583
_cell_angle_alpha 22.84
_cell_angle_beta 22.84
_cell_angle_gamma 22.84
_space_group_name_H-M_alt 'P 1'
_space_group_IT_number 1
loop_
_space_group_symop_operation_xyz
'x,y,z'
loop_
_atom_site_label
_atom_site_fract_x
_atom_site_fract_y
_atom_site_fract_z
Gd1 0.2263 0.2263 0.2263
Gd2 0.7737 0.7737 0.7737
Ho1 0.0000 0.0000 0.0000
P1 0.5000 0.5000 0.5000


No. 12
# PrGa2Pt5Au PBE optimized geometry
# Symmetry: P4/mmm (123)
# Calculated formation energy: -11.73 kcal/mol of atoms
# DFT total energy: -5.432 eV per atom
# Total magnetic moment: 0.000 μB per cell
data_PrGa2Pt5Au
_cell_length_a 4.1227
_cell_length_b 4.1227
_cell_length_c 9.7016
_cell_angle_alpha 90.00
_cell_angle_beta 90.00
_cell_angle_gamma 90.00
_space_group_name_H-M_alt 'P 1'
_space_group_IT_number 1
loop_
_space_group_symop_operation_xyz
'x,y,z'
loop_
_atom_site_label
_atom_site_fract_x
_atom_site_fract_y
_atom_site_fract_z
Pr1 0.0000 0.0000 0.0000
Ga1 0.5000 0.5000 0.3763
Ga2 0.5000 0.5000 0.6237
Pt1 0.0000 0.5000 0.2302
Pt2 0.0000 0.5000 0.7698
Pt3 0.5000 0.0000 0.2302
Pt4 0.5000 0.0000 0.7698
Pt5 0.5000 0.5000 0.0000
Au1 0.0000 0.0000 0.5000